# 1
This record from the Alexandria database describes a relaxed structure of ScMo5. The functional is GGA-PBE.

Unit cell a=3.188 b=5.339 c=6.393 alpha=72.32 beta=90.00 gamma=72.63
Positions (direct):
Mo: 0.633 0.735 0.768
Mo: 0.978 0.043 0.454
Mo: 0.978 0.043 0.941
Mo: 0.633 0.735 0.281
Mo: 0.306 0.389 0.611
Sc: 0.306 0.389 0.111

Formation enthalpy at 0 K in eV per atom: 0.002
Space group: C2/m (12)
Size of the total moment in μB per formula unit: 0.00



# 2
This record from the Alexandria database describes a relaxed structure of TaBe2CoC. The functional is GGA-PBE.

Unit cell a=4.487 b=4.015 c=4.487 alpha=90.00 beta=90.00 gamma=90.00
Positions (direct):
Be: 0.000 0.000 0.500
Be: 0.500 0.000 0.000
C: 0.000 0.500 0.000
Ta: 0.000 0.000 0.000
Co: 0.500 0.500 0.500

Formation enthalpy at 0 K in eV per atom: 1.851
Space group: P4/mmm (123)
Size of the total moment in μB per formula unit: 1.67



# 3
This record from the Alexandria database describes a relaxed structure of LaCd2As2. The functional is GGA-PBE.

Unit cell a=4.190 b=4.190 c=7.486 alpha=73.75 beta=73.75 gamma=90.00
Positions (direct):
As: 0.403 0.403 0.193
As: 0.597 0.597 0.807
Cd: 0.750 0.250 0.500
Cd: 0.250 0.750 0.500
La: 0.000 0.000 0.000

Formation enthalpy at 0 K in eV per atom: -0.548
Space group: I4/mmm (139)
Size of the total moment in μB per formula unit: 0.00



Q: formation enthalpy at 0 K of number 3 (LaCd2As2)?
A: -0.548 eV per atom



Q: The lowest formation enthalpy at 0 K belongs to which entry?
A: LaCd2As2